Density functional theory data (PBE-GGA) for a geometry-optimized Tb2InCu structure.

- M_tot (μB per formula unit) = 0.0
- ΔE_f (meV/atom) = 142

Cell: 3.4925 3.4925 31.7249 Å, 90.00 90.00 120.00°
Last column: nearest neighbours and their distance in Å.
Space group R-3m (No. 166, hexagonal axes)
Inequivalent atoms, fractional coordinates:
Tb 0.0000 0.0000 0.1017 [6 per cell]  3 Cu 2.88, 1 In 3.23
In 0.0000 0.0000 0.0000 [3 per cell]  2 Tb 3.23, 6 In 3.49
Cu 0.0000 0.0000 0.5000 [3 per cell]  6 Tb 2.88

---

Density functional theory data (PBE-GGA) for a geometry-optimized TbIn3Cu3 structure.

- M_tot (μB per formula unit) = 0.0
- ΔE_f (meV/atom) = 368

Cell: 7.0554 7.0554 7.0554 Å, 90.00 90.00 90.00°
Last column: nearest neighbours and their distance in Å.
Space group Pm-3n (No. 223)
Inequivalent atoms, fractional coordinates:
Tb 0.0000 0.0000 0.0000 [2 per cell]  12 In 3.94, 12 Cu 3.94
In 0.0000 0.2500 0.5000 [6 per cell]  4 Cu 2.49
Cu 0.0000 0.5000 0.2500 [6 per cell]  4 In 2.49

---

Density functional theory data (PBE-GGA) for a geometry-optimized Tb3InCu8 structure.

- M_tot (μB per formula unit) = 0.0
- ΔE_f (meV/atom) = -206

Cell: 5.2004 5.2004 25.6021 Å, 90.00 90.00 120.00°
Last column: nearest neighbours and their distance in Å.
Space group R3m (No. 160, hexagonal axes)
Inequivalent atoms, fractional coordinates:
Tb 0.0000 0.0000 0.0000 [3 per cell]  12 Cu 3.01-3.11, 4 Tb 3.19-3.25
Tb 0.0000 0.0000 0.1246 [3 per cell]  12 Cu 3.02-3.09, 3 In 3.14, 1 Tb 3.19
Tb 0.0000 0.0000 0.6180 [3 per cell]  12 Cu 2.99-3.15, 1 In 3.18, 3 Tb 3.25
In 0.0000 0.0000 0.4937 [3 per cell]  12 Cu 2.99-3.10, 4 Tb 3.14-3.18
Cu 0.0000 0.0000 0.3094 [3 per cell]  6 Cu 2.61
Cu 0.0000 0.0000 0.8104 [3 per cell]  6 Cu 2.59-2.63
Cu 0.0000 0.5000 0.0596 [9 per cell]  6 Cu 2.60-2.63
Cu 0.0050 0.5025 0.5599 [9 per cell]  6 Cu 2.56-2.64

---

Density functional theory data (PBE-GGA) for a geometry-optimized Tb3InCu2 structure.

- M_tot (μB per formula unit) = 0.0
- ΔE_f (meV/atom) = -312

Cell: 3.4969 3.4969 11.3321 Å, 90.00 90.00 90.00°
Last column: nearest neighbours and their distance in Å.
Space group P4/mmm (No. 123)
Inequivalent atoms, fractional coordinates:
Tb 0.0000 0.0000 0.0000 [1 per cell]  8 Cu 3.04
Tb 0.0000 0.0000 0.3078 [2 per cell]  4 Cu 3.01, 4 In 3.30
In 0.5000 0.5000 0.5000 [1 per cell]  8 Tb 3.30, 4 In 3.50
Cu 0.5000 0.5000 0.1556 [2 per cell]  8 Tb 3.01-3.04

---

Density functional theory data (PBE-GGA) for a geometry-optimized Tb2In3Cu structure.

- polymorph energy (0 for the lowest one) (eV per atom) = 0.000
- M_tot (μB per formula unit) = 0.0
- ΔE_f (meV/atom) = -414

Cell: 4.7420 4.7420 7.4824 Å, 90.00 90.00 120.00°
Last column: nearest neighbours and their distance in Å.
Space group P3m1 (No. 156)
Inequivalent atoms, fractional coordinates:
Tb 0.0000 0.0000 0.0000 [1 per cell]  6 In 3.16-3.19, 1 Tb 3.45, 3 Cu 3.46
Tb 0.0000 0.0000 0.4607 [1 per cell]  3 Cu 3.05, 6 In 3.16-3.28
In 0.3333 0.6667 0.2197 [1 per cell]  3 Cu 2.78
In 0.3333 0.6667 0.7878 [1 per cell]  3 In 2.87, 3 Tb 3.16
In 0.6667 0.3333 0.6717 [1 per cell]  3 In 2.87, 1 Cu 2.91, 3 Tb 3.16
Cu 0.6667 0.3333 0.2823 [1 per cell]  4 In 2.78-2.91, 3 Tb 3.05

---

Density functional theory data (PBE-GGA) for a geometry-optimized Tb5InCu2 structure.

- M_tot (μB per formula unit) = 0.0
- ΔE_f (meV/atom) = -232

Cell: 7.9396 7.9396 13.0778 Å, 90.00 90.00 90.00°
Last column: nearest neighbours and their distance in Å.
Space group I4/mcm (No. 140)
Inequivalent atoms, fractional coordinates:
Tb 0.0000 0.0000 0.0000 [4 per cell]  4 Cu 3.12, 2 In 3.27
Tb 0.1558 0.3442 0.1424 [16 per cell]  3 Cu 2.94-3.05
In 0.0000 0.0000 0.2500 [4 per cell]  10 Tb 3.27-3.31
Cu 0.1289 0.3711 0.5000 [8 per cell]  1 Cu 2.89, 8 Tb 2.94-3.12

---

Density functional theory data (PBE-GGA) for a geometry-optimized Tb2In3Cu structure.

- polymorph energy (0 for the lowest one) (eV per atom) = 0.023
- M_tot (μB per formula unit) = 0.0
- ΔE_f (meV/atom) = -391

Cell: 7.2277 9.5840 16.6166 Å, 90.00 90.00 90.00°
Last column: nearest neighbours and their distance in Å.
Space group Fmmm (No. 69)
Inequivalent atoms, fractional coordinates:
Tb 0.2480 0.0000 0.0000 [8 per cell]  10 In 3.25-3.41, 2 Cu 3.32, 1 Tb 3.59
Tb 0.2500 0.2500 0.2500 [8 per cell]  8 In 3.26, 4 Cu 3.30, 2 Tb 3.61
In 0.0000 0.0000 0.3267 [8 per cell]  1 Cu 2.64, 2 In 2.88
In 0.0000 0.2392 0.0871 [16 per cell]  1 Cu 2.66, 2 In 2.88-2.90
Cu 0.0000 0.0000 0.1680 [8 per cell]  3 In 2.64-2.66

---

Density functional theory data (PBE-GGA) for a geometry-optimized Tb2InCu9 structure.

- M_tot (μB per formula unit) = 0.0
- ΔE_f (meV/atom) = -116

Cell: 5.1058 5.1058 24.9286 Å, 90.00 90.00 120.00°
Last column: nearest neighbours and their distance in Å.
Space group R-3m (No. 166, hexagonal axes)
Inequivalent atoms, fractional coordinates:
Tb 0.0000 0.0000 0.1362 [6 per cell]  12 Cu 2.89-3.22
In 0.0000 0.0000 0.0000 [3 per cell]  18 Cu 2.95-3.27
Cu 0.0000 0.0000 0.3329 [6 per cell]  6 Cu 2.51-2.53
Cu 0.0000 0.0000 0.5000 [3 per cell]  6 Cu 2.58
Cu 0.0021 0.5010 0.9180 [18 per cell]  7 Cu 2.51-2.58

---

| no. | theoretical density (g/cm3) |
| --- | --- |
| 1 | 7.4 |
| 2 | 6.6 |
| 3 | 9.1 |
| 4 | 8.6 |
| 5 | 8.3 |
| 6 | 8.4 |
| 7 | 8.4 |
| 8 | 8.9 |